Entry from the Alexandria database: Ca2BeAs after structural relaxation (GGA-PBEsol).

Geometry as POSCAR:
```
Ca2BeAs
1.0
4.205 0.000 0.000
0.000 4.205 0.000
0.000 0.000 5.852
Ca Be As
2 1 1
direct
0.000 0.000 0.000 Ca
0.500 0.500 0.490 Ca
0.500 0.500 0.989 Be
0.000 0.000 0.501 As
```

Computed properties:
**Space-group type**: P4mm (99)
**Total magnetic moment**: 0.00 μB per cell
**DOS(E_F)**: 0.94 states/eV per atom
**Energy**: -3.40 eV/atom

Entry from the Alexandria database: CaBe3As after structural relaxation (GGA-PBEsol).

Geometry as POSCAR:
```
CaBe3As
1.0
4.427 0.000 0.000
0.000 4.427 0.000
0.000 0.000 4.427
Ca Be As
1 3 1
direct
0.000 0.000 0.000 Ca
0.000 0.500 0.500 Be
0.500 0.000 0.500 Be
0.500 0.500 0.000 Be
0.500 0.500 0.500 As
```

Computed properties:
**Space-group type**: Pm-3m (221)
**Total magnetic moment**: 0.00 μB per cell
**DOS(E_F)**: 0.36 states/eV per atom
**Energy**: -3.21 eV/atom